No. 1
{"formula": "SrNiSe4", "functional": "PBE", "state": "relaxed", "m_tot_mub_per_cell": 0.63, "e_form_raw_ev_per_atom": 0.1466, "vol_a3_per_atom": 23.033, "space_group": "F-43m", "cell": [[2.347, 0.589, 5.275], [-3.407, 0.926, 4.606], [-0.706, -4.171, 3.972]], "species": ["Sr", "Ni", "Se", "Se", "Se", "Se"], "fractional_positions": [[0.750, 0.750, 0.750], [0.000, 0.000, 0.000], [0.880, 0.373, 0.373], [0.373, 0.373, 0.880], [0.373, 0.880, 0.373], [0.373, 0.373, 0.373]]}

=====

No. 2
{"formula": "PmReTc", "functional": "PBE", "state": "relaxed", "m_tot_mub_per_cell": 0.00, "delta_e_f_ev_per_atom": 0.1652, "e_above_lowest_polymorph_mev_per_atom": 177, "vol_a3_per_atom": 19.682, "space_group": "I4mm", "cell": [[3.137, 0.000, 0.000], [0.000, 3.137, 0.000], [-1.569, -1.569, 6.000]], "species": ["Re", "Tc", "Pm"], "fractional_positions": [[0.304, 0.304, 0.608], [0.697, 0.697, 0.395], [0.999, 0.999, 0.998]]}

=====

No. 3
{"formula": "Ac4Ru2Pb", "functional": "PBE", "state": "relaxed", "m_tot_mub_per_cell": 0.00, "delta_e_f_ev_per_atom": -0.0814, "vol_a3_per_atom": 35.319, "space_group": "F222", "cell": [[8.536, -1.196, -0.173], [-1.808, 8.428, 0.173], [-3.237, -3.733, 7.083]], "species": ["Ac", "Ac", "Ac", "Ac", "Ac", "Ac", "Ac", "Ac", "Ru", "Ru", "Ru", "Ru", "Pb", "Pb"], "fractional_positions": [[0.911, 0.229, 0.320], [0.340, 0.521, 0.181], [0.909, 0.591, 0.681], [0.771, 0.089, 0.681], [0.408, 0.090, 0.319], [0.340, 0.158, 0.819], [0.479, 0.661, 0.819], [0.841, 0.660, 0.181], [0.625, 0.375, 0.750], [0.625, 0.875, 0.250], [0.625, 0.374, 0.249], [0.125, 0.375, 0.750], [0.250, 0.750, 0.500], [0.000, 0.000, 0.000]]}

=====

No. 4
{"formula": "Ta2BeZn", "functional": "PBE", "state": "relaxed", "m_tot_mub_per_cell": 0.00, "delta_e_f_ev_per_atom": -0.0072, "e_above_lowest_polymorph_mev_per_atom": 0, "vol_a3_per_atom": 14.889, "space_group": "Cmmm", "cell": [[-0.527, 0.564, -2.667], [-0.778, -2.636, -0.392], [-7.270, 1.872, 1.833]], "species": ["Be", "Zn", "Ta", "Ta"], "fractional_positions": [[0.500, 0.500, 0.750], [0.500, 0.500, 0.250], [0.000, 0.000, 0.972], [0.000, 0.000, 0.528]]}

=====

No. 5
{"formula": "NaTl2GaCl6", "functional": "PBE", "state": "relaxed", "m_tot_mub_per_cell": 0.00, "e_form_raw_ev_per_atom": -1.2057, "vol_a3_per_atom": 30.203, "space_group": "P-3m1", "cell": [[-4.071, -4.931, -2.442], [-0.667, -2.704, 6.572], [-4.602, 4.943, -2.309]], "species": ["Na", "Tl", "Tl", "Ga", "Cl", "Cl", "Cl", "Cl", "Cl", "Cl"], "fractional_positions": [[0.500, 0.000, 0.000], [0.141, 0.333, 0.667], [0.859, 0.667, 0.333], [0.000, 0.000, 0.000], [0.795, 0.158, 0.316], [0.795, 0.158, 0.842], [0.795, 0.684, 0.842], [0.205, 0.842, 0.158], [0.205, 0.316, 0.158], [0.205, 0.842, 0.684]]}

=====

No. 6
{"formula": "SrCrHg3", "functional": "PBE", "state": "relaxed", "m_tot_mub_per_cell": 4.96, "delta_e_f_ev_per_atom": 0.7682, "e_above_lowest_polymorph_mev_per_atom": 725, "vol_a3_per_atom": 46.405, "space_group": "Pm-3m", "cell": [[-1.143, 0.545, -6.013], [4.532, -3.966, -1.222], [-3.989, -4.662, 0.336]], "species": ["Sr", "Hg", "Hg", "Hg", "Cr"], "fractional_positions": [[0.000, 0.000, 0.000], [0.000, 0.500, 0.000], [0.000, 0.000, 0.500], [0.500, 0.000, 0.000], [0.500, 0.500, 0.500]]}

=====

No. 7
{"formula": "KOs", "functional": "PBE", "state": "relaxed", "m_tot_mub_per_cell": 0.00, "delta_e_f_ev_per_atom": 0.7092, "e_above_lowest_polymorph_mev_per_atom": 11, "vol_a3_per_atom": 28.656, "space_group": "P2_1/m", "cell": [[4.022, 0.000, 0.000], [0.000, 2.786, 0.044], [0.000, 0.934, 10.243]], "species": ["K", "K", "Os", "Os"], "fractional_positions": [[0.000, 0.737, 0.089], [0.500, 0.013, 0.661], [0.000, 0.609, 0.414], [0.500, 0.141, 0.336]]}

=====

No. 8
{"formula": "TlCuF3", "functional": "PBE", "state": "relaxed", "m_tot_mub_per_cell": 0.00, "e_form_raw_ev_per_atom": -1.5781, "vol_a3_per_atom": 16.049, "space_group": "P2_1/c", "cell": [[-15.848, 2.174, -7.805], [1.560, -2.742, -3.932], [5.230, -3.851, 4.761]], "species": ["Tl", "Tl", "Tl", "Tl", "Cu", "Cu", "Cu", "Cu", "F", "F", "F", "F", "F", "F", "F", "F", "F", "F", "F", "F"], "fractional_positions": [[0.342, 0.754, 0.279], [0.658, 0.246, 0.721], [0.158, 0.254, 0.221], [0.842, 0.746, 0.779], [0.117, 0.088, 0.589], [0.883, 0.912, 0.411], [0.383, 0.588, 0.911], [0.617, 0.412, 0.089], [0.224, 0.868, 0.633], [0.776, 0.132, 0.367], [0.276, 0.368, 0.867], [0.724, 0.632, 0.133], [0.426, 0.278, 0.546], [0.574, 0.722, 0.454], [0.074, 0.778, 0.954], [0.926, 0.222, 0.046], [0.465, 0.712, 0.856], [0.535, 0.288, 0.144], [0.035, 0.212, 0.644], [0.965, 0.788, 0.356]]}